# Rb3Ho3SbS8

Rb3Ho3SbS8 after structural relaxation (PBE, Alexandria via LeMat-Bulk).

Cell and atoms, written as CIF:
```
data_Rb3Ho3SbS8
_cell_length_a 7.999
_cell_length_b 8.001
_cell_length_c 9.093
_cell_angle_alpha 116.11
_cell_angle_beta 89.99
_cell_angle_gamma 120.01
_space_group_name_H-M_alt 'P 1'
_space_group_IT_number 1
loop_
_space_group_symop_operation_xyz
'x,y,z'
loop_
_atom_site_label
_atom_site_type_symbol
_atom_site_fract_x
_atom_site_fract_y
_atom_site_fract_z
Ho1 Ho 0.500 0.000 0.500
Ho2 Ho 0.500 0.500 0.500
Ho3 Ho 0.000 0.500 0.500
S1 S 0.262 0.038 0.314
S2 S 0.776 0.038 0.314
S3 S 0.776 0.552 0.314
S4 S 0.270 0.540 0.311
S5 S 0.730 0.460 0.689
S6 S 0.224 0.962 0.686
S7 S 0.738 0.962 0.686
S8 S 0.224 0.448 0.686
Rb1 Rb 0.000 0.500 0.000
Rb2 Rb 0.500 0.500 0.000
Rb3 Rb 0.000 0.000 0.000
Sb1 Sb 0.000 0.000 0.500
```

For the density of states at the Fermi level, the calculation gives 2.3 states/eV/f.u. As for the formation energy without anion corrections: -1.521 eV/atom.